Here is an optimized crystal structure of In2ReSb from Alexandria. Energies are from GGA-PBE.

Computed properties:
Formation energy without anion corrections   0.66 eV/atom
DOS at the Fermi energy   7.581 states/eV per cell
Final energy   -4.8558 eV/atom

abc: 10.4030 3.4389 4.7277
angles: 90.00 96.12 90.00
Closest atoms and distances in Å follow each position.
Space group C2/m (No. 12)
Unique sites:
In1 0.2385 0.0000 0.2346  4 In 2.84-3.03, 1 Sb 2.90, 3 Re 3.05-3.12
Re1 0.0000 0.5000 0.0000  4 Sb 2.92, 6 In 3.05-3.12
Sb1 0.0000 0.0000 0.5000  2 In 2.90, 4 Re 2.92

Here is an optimized crystal structure of Li2ZnAsSe4 from Alexandria. Energies are from GGA-PBE.

Computed properties:
Formation energy without anion corrections   -0.62 eV/atom
DOS at the Fermi energy   9.821 states/eV per cell
Final energy   -3.5791 eV/atom

abc: 5.9429 5.9429 11.2478
angles: 90.00 90.00 90.00
Closest atoms and distances in Å follow each position.
Space group I-4 (No. 82)
Unique sites:
Li1 0.0000 0.0000 0.0000  4 Se 2.55
Li2 0.0000 0.5000 0.2500  4 Se 2.57
Zn1 0.0000 0.0000 0.5000  4 Se 2.48
As1 0.0000 0.5000 0.7500  4 Se 2.51
Se1 0.2399 0.2498 0.6231  1 Zn 2.48, 1 As 2.51, 2 Li 2.55-2.57

Here is an optimized crystal structure of AcTb14Nd from Alexandria. Energies are from GGA-PBE.

Computed properties:
Energy relative to the elements   0.027 eV per atom
DOS at the Fermi energy   55.876 states/eV per cell
Final energy   -4.5792 eV/atom

abc: 11.4854 7.3318 12.6498
angles: 90.00 90.00 90.00
Closest atoms and distances in Å follow each position.
Space group Amm2 (No. 38)
Unique sites:
Ac1 0.0000 0.0000 0.0000  10 Tb 3.62-3.67, 2 Nd 3.67
Tb1 0.0000 0.2488 0.2517  8 Tb 3.58-3.68, 2 Nd 3.63-3.68, 2 Ac 3.64-3.67
Tb2 0.2511 0.0000 0.6688  11 Tb 3.55-3.67, 1 Nd 3.59
Tb3 0.2544 0.0000 0.1699  11 Tb 3.52-3.68, 1 Ac 3.63
Tb4 0.2559 0.2486 0.4179  10 Tb 3.51-3.69, 1 Nd 3.61, 1 Ac 3.62
Tb5 0.5000 0.0000 0.0013  12 Tb 3.52-3.67
Tb6 0.5000 0.0000 0.5012  12 Tb 3.51-3.67
Tb7 0.5000 0.2503 0.2509  12 Tb 3.51-3.67
Nd1 0.0000 0.0000 0.4997  10 Tb 3.59-3.68, 2 Ac 3.67

Here is an optimized crystal structure of PrEr2Mg from Alexandria. Energies are from GGA-PBE.

Computed properties:
Polymorph energy (0 for the lowest one)   7.3 kJ per mole of atoms
Energy relative to the elements   0.049 eV per atom
DOS at the Fermi energy   17.006 states/eV per cell
Final energy   -3.8264 eV/atom

abc: 3.5623 3.5623 33.6045
angles: 90.00 90.00 120.00
Closest atoms and distances in Å follow each position.
Space group R3m (No. 160, hexagonal axes)
Unique sites:
Pr1 0.0000 0.0000 0.0000  6 Pr 3.56, 6 Er 3.62-3.63
Er1 0.0000 0.0000 0.5777  3 Mg 3.33, 6 Er 3.56, 3 Pr 3.63
Er2 0.0000 0.0000 0.7554  3 Mg 3.32, 6 Er 3.56, 3 Pr 3.62
Mg1 0.0000 0.0000 0.1663  6 Er 3.32-3.33, 6 Mg 3.56

Here is an optimized crystal structure of CdC3Cl from Alexandria. Energies are from GGA-PBE.

Computed properties:
Polymorph energy (0 for the lowest one)   0.0 kJ per mole of atoms
Formation energy without anion corrections   3.29 eV/atom
DOS at the Fermi energy   3.369 states/eV per cell
Final energy   -2.7922 eV/atom

abc: 3.9896 3.9896 3.9896
angles: 90.00 90.00 90.00
Closest atoms and distances in Å follow each position.
Space group Pm-3m (No. 221)
Unique sites:
Cd1 0.0000 0.0000 0.0000  12 C 2.82
C1 0.0000 0.5000 0.5000  2 Cl 1.99
Cl1 0.5000 0.5000 0.5000  6 C 1.99

Here is an optimized crystal structure of YBeP2N from Alexandria. Energies are from GGA-PBE.

Computed properties:
Formation energy without anion corrections   1.97 eV/atom
DOS at the Fermi energy   3.486 states/eV per cell
Final energy   -3.8973 eV/atom

abc: 5.2538 5.2538 5.7178
angles: 90.00 90.00 90.00
Closest atoms and distances in Å follow each position.
Space group P4/mmm (No. 123)
Unique sites:
Y1 0.0000 0.0000 0.0000  4 P 2.63, 2 Be 2.86
Be1 0.0000 0.0000 0.5000  2 Y 2.86
P1 0.0000 0.5000 0.0000  2 Y 2.63
N1 0.5000 0.5000 0.5000  4 Be 3.72, 8 P 3.88